No. 1
Compound: Al2HgW
Source: the Alexandria database
Functional: PBE-GGA
Structure: relaxed

For the energy relative to the elements, the calculation gives 28.34 kJ per mole of atoms. As for the density of states at the Fermi level: 0.651 states/eV/atom.

It has space group R3m (No. 160, hexagonal axes), with a = 2.9717 Å, b = 2.9717 Å, c = 27.3618 Å, α = 90.00°, β = 90.00° and γ = 120.00°. The distinct sites, in fractional coordinates, are Al at (0.0000, 0.0000, 0.0000), Al at (0.0000, 0.0000, 0.2525), Hg at (0.0000, 0.0000, 0.5001) and W at (0.0000, 0.0000, 0.7435).

No. 2
Compound: Al2HgW
Source: the Alexandria database
Functional: PBE-GGA
Structure: relaxed

For the energy relative to the elements, the calculation gives 67.31 kJ per mole of atoms. As for the density of states at the Fermi level: 0.489 states/eV/atom.

It has space group F-43m (No. 216), with a = 6.517 Å, b = 6.517 Å, c = 6.517 Å, α = 90.00°, β = 90.00° and γ = 90.00°. The distinct sites, in fractional coordinates, are Al at (0.000, 0.000, 0.000), Al at (0.250, 0.250, 0.250), Hg at (0.250, 0.250, 0.750) and W at (0.000, 0.000, 0.500).

No. 3
Compound: AlHgW3
Source: the Alexandria database
Functional: PBE-GGA
Structure: relaxed

For the energy relative to the elements, the calculation gives 181.68 kJ per mole of atoms. As for the density of states at the Fermi level: 1.634 states/eV/atom. The energy above the most stable polymorph in this dataset is 0.0 meV per atom.

It has space group Pm-3m (No. 221), with a = 4.576 Å, b = 4.576 Å, c = 4.576 Å, α = 90.00°, β = 90.00° and γ = 90.00°. The distinct sites, in fractional coordinates, are Al at (0.000, 0.000, 0.000), Hg at (0.500, 0.500, 0.500) and W at (0.000, 0.000, 0.500).

No. 4
Compound: AlHg3W
Source: the Alexandria database
Functional: PBE-GGA
Structure: relaxed

For the energy relative to the elements, the calculation gives 132.65 kJ per mole of atoms. As for the density of states at the Fermi level: 0.718 states/eV/atom. The energy above the most stable polymorph in this dataset is 204.2 meV per atom.

It has space group Pm-3m (No. 221), with a = 5.135 Å, b = 5.135 Å, c = 5.135 Å, α = 90.00°, β = 90.00° and γ = 90.00°. The distinct sites, in fractional coordinates, are Al at (0.000, 0.000, 0.000), Hg at (0.000, 0.000, 0.500) and W at (0.500, 0.500, 0.500).

No. 5
Compound: Al2HgW
Source: the Alexandria database
Functional: PBE-GGA
Structure: relaxed

For the energy relative to the elements, the calculation gives 18.53 kJ per mole of atoms. As for the density of states at the Fermi level: 0.724 states/eV/atom.

It has space group R-3m (No. 166, hexagonal axes), with a = 2.9678 Å, b = 2.9678 Å, c = 27.5096 Å, α = 90.00°, β = 90.00° and γ = 120.00°. The distinct sites, in fractional coordinates, are Al at (0.0000, 0.0000, 0.2450), Hg at (0.0000, 0.0000, 0.0000) and W at (0.0000, 0.0000, 0.5000).

No. 6
Compound: Al2HgW
Source: the Alexandria database
Functional: PBE-GGA
Structure: relaxed

For the energy relative to the elements, the calculation gives 18.39 kJ per mole of atoms. As for the density of states at the Fermi level: 0.575 states/eV/atom.

It has space group Pmmm (No. 47), with a = 3.068 Å, b = 3.687 Å, c = 6.011 Å, α = 90.00°, β = 90.00° and γ = 90.00°. The distinct sites, in fractional coordinates, are Al at (0.000, 0.000, 0.220), Hg at (0.500, 0.500, 0.500) and W at (0.500, 0.500, 0.000).

No. 7
Compound: Al2HgW
Source: the Alexandria database
Functional: PBE-GGA
Structure: relaxed

For the energy relative to the elements, the calculation gives 22.20 kJ per mole of atoms. As for the density of states at the Fermi level: 0.400 states/eV/atom.

It has space group Cm (No. 8), with a = 10.011 Å, b = 2.826 Å, c = 4.876 Å, α = 90.00°, β = 96.77° and γ = 90.00°. The distinct sites, in fractional coordinates, are Al at (0.000, 0.000, 0.000), Al at (0.239, 0.000, 0.703), Hg at (0.480, 0.000, 0.487) and W at (0.235, 0.500, 0.190).

No. 8
Compound: Al2HgW
Source: the Alexandria database
Functional: PBE-GGA
Structure: relaxed

For the energy relative to the elements, the calculation gives 32.48 kJ per mole of atoms. As for the density of states at the Fermi level: 0.567 states/eV/atom.

It has space group Cmm2 (No. 35), with a = 3.897 Å, b = 4.082 Å, c = 8.752 Å, α = 90.00°, β = 90.00° and γ = 90.00°. The distinct sites, in fractional coordinates, are Al at (0.000, 0.000, 0.000), Al at (0.000, 0.500, 0.237), Hg at (0.000, 0.000, 0.504) and W at (0.000, 0.500, 0.775).

> Which of these has the highest energy relative to the elements?

AlHgW3

> What is the energy relative to the elements in the first record?

28.34 kJ per mole of atoms